The following is a DFT calculation (GGA-PBE) of a relaxed structure of TbAl2Zn10.

Lattice parameters (Å, degrees): 8.8277 6.8040 6.7949 80.95 49.57 49.48
Closest atoms and distances in Å follow each position.
Fractional positions:
Tb  0.0000  0.0000  0.0000  16 Zn 3.13-3.40, 4 Al 3.40
Al  0.0000  0.0000  0.5000  8 Zn 2.62-2.75, 2 Al 2.70
Al  0.5000  0.5000  0.0000  8 Zn 2.62-2.75, 2 Al 2.70
Zn  0.0000  0.5000  0.0000  10 Zn 2.59-2.74
Zn  0.0007  0.3542  0.6458  5 Zn 2.57-2.84, 2 Al 2.75
Zn  0.2849  0.4979  0.5021  6 Zn 2.59-2.84, 2 Al 2.62
Zn  0.3542  0.0007  0.9993  5 Zn 2.57-2.84, 2 Al 2.75
Zn  0.4979  0.2849  0.7151  6 Zn 2.59-2.84, 2 Al 2.62
Zn  0.5000  0.0000  0.5000  10 Zn 2.59-2.74
Zn  0.5021  0.7151  0.2849  6 Zn 2.59-2.84, 2 Al 2.62
Zn  0.6458  0.9993  0.0007  5 Zn 2.57-2.84, 2 Al 2.75
Zn  0.7151  0.5021  0.4979  6 Zn 2.59-2.84, 2 Al 2.62
Zn  0.9993  0.6458  0.3542  5 Zn 2.57-2.84, 2 Al 2.75

Values from the calculation:
For the volume, the calculation gives 210.1 Å³ per cell. The calculation puts the formation energy at -2.0 eV per formula unit. As for the space-group type: Fmmm, No. 69.